P:
# NbCr3I PBE-GGA relaxed
data_NbCr3I
_chemical_formula_sum 'Nb1 Cr3 I1'
_cell_length_a 4.919
_cell_length_b 4.919
_cell_length_c 4.919
_cell_angle_alpha 90.00
_cell_angle_beta 90.00
_cell_angle_gamma 90.00
_space_group_name_H-M_alt 'P m -3 m'
_space_group_IT_number 221
_space_group_name_Hall '-P 4 2 3'
loop_
_atom_site_label
_atom_site_type_symbol
_atom_site_fract_x
_atom_site_fract_y
_atom_site_fract_z
_atom_site_occupancy
Nb1 Nb 0.000 0.000 0.000 1
Cr1 Cr 0.000 0.000 0.500 1
I1 I 0.500 0.500 0.500 1
# Density = 5.24 Mg/m³
# DOS(E_F) = 0.449 states/eV/atom

---

Q:
# NbCr3I PBE-GGA relaxed
data_NbCr3I
_chemical_formula_sum 'Nb1 Cr3 I1'
_cell_length_a 4.556
_cell_length_b 4.556
_cell_length_c 4.556
_cell_angle_alpha 90.00
_cell_angle_beta 90.00
_cell_angle_gamma 90.00
_space_group_name_H-M_alt 'P m -3 m'
_space_group_IT_number 221
_space_group_name_Hall '-P 4 2 3'
loop_
_atom_site_label
_atom_site_type_symbol
_atom_site_fract_x
_atom_site_fract_y
_atom_site_fract_z
_atom_site_occupancy
Nb1 Nb 0.000 0.000 0.000 1
Cr1 Cr 0.000 0.500 0.500 1
I1 I 0.500 0.500 0.500 1
# Density = 6.60 Mg/m³
# DOS(E_F) = 1.028 states/eV/atom

---

Stability summary: most stable P, least stable Q.

---

P:
# NbCr2I2 PBE-GGA relaxed
data_NbCr2I2
_chemical_formula_sum 'Nb2 Cr4 I4'
_cell_length_a 3.343
_cell_length_b 3.343
_cell_length_c 17.410
_cell_angle_alpha 90.00
_cell_angle_beta 90.00
_cell_angle_gamma 90.00
_space_group_name_H-M_alt 'I 4/m m m'
_space_group_IT_number 139
_space_group_name_Hall '-I 4 2'
loop_
_atom_site_label
_atom_site_type_symbol
_atom_site_fract_x
_atom_site_fract_y
_atom_site_fract_z
_atom_site_occupancy
Nb1 Nb 0.000 0.000 0.000 1
Cr1 Cr 0.000 0.500 0.250 1
I1 I 0.000 0.000 0.394 1
# Density = 7.69 Mg/m³
# DOS(E_F) = 1.022 states/eV/atom

---

Q:
# NbCr2I2 PBE-GGA relaxed
data_NbCr2I2
_chemical_formula_sum 'Nb2 Cr4 I4'
_cell_length_a 7.629
_cell_length_b 7.629
_cell_length_c 3.628
_cell_angle_alpha 90.00
_cell_angle_beta 90.00
_cell_angle_gamma 90.00
_space_group_name_H-M_alt 'P 4/m b m'
_space_group_IT_number 127
_space_group_name_Hall '-P 4 2ab'
loop_
_atom_site_label
_atom_site_type_symbol
_atom_site_fract_x
_atom_site_fract_y
_atom_site_fract_z
_atom_site_occupancy
Nb1 Nb 0.000 0.000 0.000 1
Cr1 Cr 0.145 0.355 0.500 1
I1 I 0.161 0.661 0.000 1
# Density = 7.09 Mg/m³
# DOS(E_F) = 0.633 states/eV/atom

---

Stability summary: most stable Q, least stable P.